[1]
# Nd4NiHBr2

Nd4NiHBr2 after structural relaxation (GGA-PBE, the Alexandria database).

```
Nd4NiHBr2
1.0
-1.9136 3.3469 -0.9254
-1.8695 -2.6983 -5.8931
-5.7060 -1.8209 5.2133
Nd Br Ni H
4 2 1 1
direct
0.5000 0.2474 0.1950 Nd
0.0000 0.7291 0.1983 Nd
0.5000 0.7526 0.8050 Nd
0.0000 0.2709 0.8017 Nd
0.5000 0.0000 0.5000 Br
0.0000 0.5000 0.5000 Br
0.0000 0.0000 0.0000 Ni
0.5000 0.5000 0.0000 H
```

[2]
# NdH2BrO2

NdH2BrO2 after structural relaxation (GGA-PBE, the Alexandria database).

```
NdH2BrO2
1.0
-0.0997 -3.4078 -2.2423
6.2312 -0.0130 -0.2571
-0.8502 -3.9853 6.0945
O H Br Nd
4 4 2 2
direct
0.7500 0.4161 0.3726 O
0.2500 0.5839 0.6274 O
0.7500 0.0009 0.6326 O
0.2500 0.9991 0.3674 O
0.5607 0.9574 0.7014 H
0.4393 0.0426 0.2986 H
0.9393 0.9574 0.7014 H
0.0607 0.0426 0.2986 H
0.7500 0.7617 0.0495 Br
0.2500 0.2383 0.9505 Br
0.7500 0.4309 0.6847 Nd
0.2500 0.5691 0.3153 Nd
```

[3]
# Nd4HOsBr2

Nd4HOsBr2 after structural relaxation (GGA-PBE, the Alexandria database).

```
Nd4HOsBr2
1.0
4.0500 0.0000 0.0000
0.0000 6.7209 0.0582
0.0000 -2.4098 7.7829
Nd H Br Os
4 1 2 1
direct
0.0000 0.2561 0.8045 Nd
0.5000 0.7718 0.8023 Nd
0.5000 0.2282 0.1977 Nd
0.0000 0.7439 0.1955 Nd
0.0000 0.0000 0.0000 H
0.0000 0.5000 0.5000 Br
0.5000 0.0000 0.5000 Br
0.5000 0.5000 0.0000 Os
```

[4]
# Nd8HOs3Br4

Nd8HOs3Br4 after structural relaxation (GGA-PBE, the Alexandria database).

```
Nd8HOs3Br4
1.0
8.1199 0.0000 0.0000
0.0000 9.1321 0.7109
-4.0599 -4.0504 5.7438
Br Nd H Os
4 8 1 3
direct
0.5000 0.0000 0.5000 Br
0.0000 0.0000 0.0000 Br
0.0000 0.0000 0.5000 Br
0.5000 0.0000 0.0000 Br
0.2327 0.6945 0.9618 Nd
0.7344 0.7033 0.4689 Nd
0.2327 0.6945 0.4654 Nd
0.7673 0.3055 0.5346 Nd
0.7673 0.3055 0.0382 Nd
0.2656 0.2967 0.5311 Nd
0.2709 0.3055 0.0382 Nd
0.7291 0.6945 0.9618 Nd
0.0000 0.5000 0.0000 H
0.0000 0.5000 0.5000 Os
0.5000 0.5000 0.0000 Os
0.5000 0.5000 0.5000 Os
```

[5]
# Nd6HOs2Br3

Nd6HOs2Br3 after structural relaxation (GGA-PBE, the Alexandria database).

```
Nd6HOs2Br3
1.0
7.0073 -0.0046 -0.0024
-3.5059 6.0672 -0.0024
-1.1702 -2.0261 7.8504
Nd Os Br H
6 2 3 1
direct
0.7303 0.7303 0.1951 Nd
0.9344 0.5991 0.8035 Nd
0.4009 0.0656 0.1965 Nd
0.2697 0.2697 0.8049 Nd
0.0656 0.4009 0.1965 Nd
0.5991 0.9344 0.8035 Nd
0.3333 0.6667 0.0000 Os
0.6667 0.3333 0.0000 Os
0.8296 0.1704 0.5000 Br
0.5000 0.5000 0.5000 Br
0.1704 0.8296 0.5000 Br
0.0000 0.0000 0.0000 H
```

[6]
# Rb2NdHBr6

Rb2NdHBr6 after structural relaxation (GGA-PBE, the Alexandria database).

```
Rb2NdHBr6
1.0
8.2096 1.0614 0.3277
1.2836 6.8132 0.3078
4.9794 4.1492 7.3059
Rb Nd Br H
2 1 6 1
direct
0.2756 0.7469 0.4102 Rb
0.7244 0.2531 0.5898 Rb
0.0000 0.0000 0.0000 Nd
0.3889 0.7601 0.9804 Br
0.8512 0.8695 0.3924 Br
0.6111 0.2399 0.0196 Br
0.7728 0.6213 0.1540 Br
0.2272 0.3787 0.8460 Br
0.1488 0.1305 0.6076 Br
0.5000 0.5000 0.0000 H
```

[7]
# Nd6HRh2Br3

Nd6HRh2Br3 after structural relaxation (GGA-PBE, the Alexandria database).

```
Nd6HRh2Br3
1.0
-0.5532 -2.0428 -6.6826
5.4232 -2.1832 3.8678
-5.7448 -4.8213 3.1900
Nd Br H Rh
6 3 1 2
direct
0.7332 0.7332 0.1965 Nd
0.9353 0.6042 0.8050 Nd
0.0647 0.3958 0.1950 Nd
0.6042 0.9353 0.8050 Nd
0.2668 0.2668 0.8035 Nd
0.3958 0.0647 0.1950 Nd
0.1686 0.8314 0.5000 Br
0.8314 0.1686 0.5000 Br
0.5000 0.5000 0.5000 Br
0.0000 0.0000 0.0000 H
0.6664 0.3336 0.0000 Rh
0.3336 0.6664 0.0000 Rh
```

[8]
# Nd8HRu3Br3

Nd8HRu3Br3 after structural relaxation (GGA-PBE, the Alexandria database).

```
Nd8HRu3Br3
1.0
8.0672 0.0000 0.0000
-4.0336 7.0042 -0.0308
0.0000 -4.6442 7.8163
Nd Br Ru H
8 3 3 1
direct
0.7678 0.5355 0.3053 Nd
0.2319 0.9627 0.6944 Nd
0.2654 0.5309 0.2961 Nd
0.7346 0.4691 0.7039 Nd
0.7308 0.9627 0.6944 Nd
0.2692 0.0373 0.3056 Nd
0.2322 0.4645 0.6947 Nd
0.7681 0.0373 0.3056 Nd
0.0000 0.0000 0.0000 Br
0.5000 0.5000 0.0000 Br
0.0000 0.5000 0.0000 Br
0.5000 0.5000 0.5000 Ru
0.5000 0.0000 0.5000 Ru
0.0000 0.5000 0.5000 Ru
0.0000 0.0000 0.5000 H
```

[9]
# Nd4HRuBr2

Nd4HRuBr2 after structural relaxation (GGA-PBE, the Alexandria database).

```
Nd4HRuBr2
1.0
-1.2417 0.8091 3.6926
2.9689 -5.6236 2.2305
5.5788 5.9202 0.5788
Nd Br Ru H
4 2 1 1
direct
0.5000 0.2456 0.1952 Nd
0.0000 0.2726 0.8039 Nd
0.0000 0.7274 0.1961 Nd
0.5000 0.7544 0.8048 Nd
0.5000 0.0000 0.5000 Br
0.0000 0.5000 0.5000 Br
0.0000 0.0000 0.0000 Ru
0.5000 0.5000 0.0000 H
```

[10]
# Nd4SiHBr2

Nd4SiHBr2 after structural relaxation (GGA-PBE, the Alexandria database).

```
Nd4SiHBr2
1.0
-2.2306 3.0956 -1.3811
-2.0566 -3.8900 -5.3976
-5.1543 -1.1914 5.6543
H Nd Br Si
1 4 2 1
direct
0.5000 0.5000 0.0000 H
0.5000 0.7420 0.8033 Nd
0.5000 0.2580 0.1967 Nd
0.0000 0.7259 0.2085 Nd
0.0000 0.2741 0.7915 Nd
0.0000 0.5000 0.5000 Br
0.5000 0.0000 0.5000 Br
0.0000 0.0000 0.0000 Si
```

[11]
# Ni2HBr

Ni2HBr after structural relaxation (GGA-PBE, the Alexandria database).

Results
relative energy among the computed polymorphs = 604 meV per atom

```
Ni2HBr
1.0
2.8732 0.3108 2.8456
2.4941 3.1981 0.0227
-0.3248 2.8043 2.9120
Ni Br H
2 1 1
direct
0.7500 0.7500 0.7500 Ni
0.2500 0.2500 0.2500 Ni
0.5000 0.5000 0.5000 Br
0.0000 0.0000 0.0000 H
```

[12]
# NiHBr2

NiHBr2 after structural relaxation (GGA-PBE, the Alexandria database).

```
NiHBr2
1.0
-1.9927 2.9276 3.9840
3.1694 -2.5403 3.4519
4.2955 3.7686 2.9451
Ni Br H
2 4 2
direct
0.7500 0.2500 0.5000 Ni
0.0000 0.0000 0.0000 Ni
0.8750 0.8469 0.7500 Br
0.1531 0.6250 0.2500 Br
0.5969 0.1250 0.2500 Br
0.3750 0.4031 0.7500 Br
0.2500 0.7500 0.5000 H
0.5000 0.5000 0.0000 H
```

[13]
# NiH2Br

NiH2Br after structural relaxation (GGA-PBE, the Alexandria database).

Results
relative energy among the computed polymorphs = 708 meV per atom

```
NiH2Br
1.0
1.8702 -2.2620 -2.4931
-0.6296 -3.7992 0.0005
-1.9056 -1.6364 -2.9191
Ni H Br
1 2 1
direct
0.0000 0.0000 0.0000 Ni
0.2500 0.2500 0.2500 H
0.7500 0.7500 0.7500 H
0.5000 0.5000 0.5000 Br
```

[14]
# NiHBr2

NiHBr2 after structural relaxation (GGA-PBE, the Alexandria database).

```
NiHBr2
1.0
2.0771 0.0000 7.1700
-1.0386 1.7989 7.1700
-1.0386 -1.7989 7.1700
Br H Ni
2 1 1
direct
0.8970 0.8970 0.8970 Br
0.1030 0.1030 0.1030 Br
0.5000 0.5000 0.5000 H
0.0000 0.0000 0.0000 Ni
```

[15]
# NiH3Br

NiH3Br after structural relaxation (GGA-PBE, the Alexandria database).

Results
relative energy among the computed polymorphs = 720 meV per atom

```
NiH3Br
1.0
-2.0831 1.2473 -2.8772
-0.2818 -3.5146 -1.3196
-3.1233 -0.5148 2.0381
H Br Ni
3 1 1
direct
0.0000 0.0000 0.5000 H
0.0000 0.5000 0.0000 H
0.5000 0.0000 0.0000 H
0.0000 0.0000 0.0000 Br
0.5000 0.5000 0.5000 Ni
```

[16]
# NiH3Br

NiH3Br after structural relaxation (GGA-PBE, the Alexandria database).

Results
relative energy among the computed polymorphs = 0 meV per atom

```
NiH3Br
1.0
-1.8248 2.6233 -1.5819
0.6452 -1.4708 -3.1834
-2.9946 -1.9154 0.2780
H Br Ni
3 1 1
direct
0.5000 0.0000 0.0000 H
0.0000 0.0000 0.5000 H
0.0000 0.5000 0.0000 H
0.5000 0.5000 0.5000 Br
0.0000 0.0000 0.0000 Ni
```

[17]
# NiH2Br3

NiH2Br3 after structural relaxation (GGA-PBE, the Alexandria database).

```
NiH2Br3
1.0
-0.8164 5.7713 -5.0271
-7.2892 3.4572 2.2451
1.5783 6.9824 0.1206
H Ni Br
4 2 6
direct
0.6417 0.6844 0.6476 H
0.3583 0.3156 0.3524 H
0.2121 0.8188 0.0325 H
0.7879 0.1812 0.9675 H
0.0497 0.1273 0.8850 Ni
0.9503 0.8727 0.1150 Ni
0.5312 0.2431 0.0291 Br
0.8003 0.6247 0.3625 Br
0.1997 0.3753 0.6375 Br
0.8677 0.0982 0.3163 Br
0.4688 0.7569 0.9709 Br
0.1323 0.9018 0.6837 Br
```

[18]
# Ni2HBr

Ni2HBr after structural relaxation (GGA-PBE, the Alexandria database).

Results
relative energy among the computed polymorphs = 0 meV per atom

```
Ni2HBr
1.0
4.6127 0.0000 0.0000
0.0000 4.6127 0.0000
2.3064 2.3064 4.7072
Ni H Br
4 2 2
direct
0.3750 0.5004 0.7500 Ni
0.2504 0.6250 0.2500 Ni
0.4996 0.1250 0.2500 Ni
0.8750 0.7496 0.7500 Ni
0.2500 0.7500 0.5000 H
0.5000 0.5000 0.0000 H
0.0000 0.0000 0.0000 Br
0.7500 0.2500 0.5000 Br
```

[19]
# NiH2Br

NiH2Br after structural relaxation (GGA-PBE, the Alexandria database).

Results
relative energy among the computed polymorphs = 0 meV per atom

```
NiH2Br
1.0
-0.2682 1.4255 -4.9207
2.6374 -4.1859 -1.3564
-1.9276 -3.2231 -3.5028
H Br Ni
4 2 2
direct
0.3770 0.6250 0.2500 H
0.3750 0.6270 0.7500 H
0.3730 0.1250 0.2500 H
0.8750 0.6230 0.7500 H
0.7500 0.2500 0.5000 Br
0.0000 0.0000 0.0000 Br
0.5000 0.5000 0.0000 Ni
0.2500 0.7500 0.5000 Ni
```

[20]
# NiHBr2

NiHBr2 after structural relaxation (GGA-PBE, the Alexandria database).

```
NiHBr2
1.0
0.1760 -1.6628 4.2051
-2.8101 -3.3239 1.2383
1.6051 -4.1696 0.7191
Br H Ni
2 1 1
direct
0.7500 0.7500 0.7500 Br
0.2500 0.2500 0.2500 Br
0.0000 0.0000 0.0000 H
0.5000 0.5000 0.5000 Ni
```

[21]
# NiH2OsBr

NiH2OsBr after structural relaxation (GGA-PBE, the Alexandria database).

```
NiH2OsBr
1.0
3.5079 0.0000 0.0000
0.0000 5.1053 0.0000
0.0000 0.0000 3.5079
Ni H Os Br
1 2 1 1
direct
0.0000 0.0000 0.0000 Ni
0.5000 0.0000 0.0000 H
0.0000 0.0000 0.5000 H
0.5000 0.5000 0.5000 Os
0.0000 0.5000 0.0000 Br
```

[22]
# NiH2PdBr

NiH2PdBr after structural relaxation (GGA-PBE, the Alexandria database).

```
NiH2PdBr
1.0
-1.6889 2.8928 1.2486
-0.6443 -2.3368 4.5424
3.1188 1.3338 1.1285
Ni Br H Pd
1 1 2 1
direct
0.0000 0.5000 0.0000 Ni
0.0000 0.0000 0.0000 Br
0.0000 0.0000 0.5000 H
0.5000 0.0000 0.0000 H
0.5000 0.5000 0.5000 Pd
```

[23]
# Rb2NiHBr6

Rb2NiHBr6 after structural relaxation (GGA-PBE, the Alexandria database).

```
Rb2NiHBr6
1.0
-2.8490 6.0137 -2.0094
-1.9150 -2.9162 -6.0123
-7.3692 -0.0277 -1.6578
Br Ni Rb H
6 1 2 1
direct
0.2571 0.7429 0.0000 Br
0.7429 0.2571 0.0000 Br
0.2074 0.2074 0.5851 Br
0.7926 0.7926 0.4149 Br
0.7429 0.7429 0.0000 Br
0.2571 0.2571 0.0000 Br
0.0000 0.0000 0.0000 Ni
0.2500 0.7500 0.5000 Rb
0.7500 0.2500 0.5000 Rb
0.5000 0.5000 0.0000 H
```

[24]
# SiNi2HBr

SiNi2HBr after structural relaxation (GGA-PBE, the Alexandria database).

```
SiNi2HBr
1.0
3.6370 0.0000 0.0000
0.0000 5.1205 0.0000
0.0000 0.0000 3.6370
H Br Si Ni
1 1 1 2
direct
0.0000 0.0000 0.0000 H
0.0000 0.5000 0.0000 Br
0.5000 0.5000 0.5000 Si
0.0000 0.0000 0.5000 Ni
0.5000 0.0000 0.0000 Ni
```

no.,E_tot (eV/atom)
1,-4.690
2,-5.678
3,-5.352
4,-5.828
5,-5.706
6,-3.486
7,-5.229
8,-5.571
9,-5.153
10,-4.755
11,-3.322
12,-2.911
13,-2.438
14,-2.549
15,-2.084
16,-2.804
17,-3.054
18,-3.927
19,-3.146
20,-2.254
21,-3.796
22,-2.979
23,-2.758
24,-3.723